The following is a DFT calculation (PBE) of a relaxed RbHoBS4 crystal.

The space group is P2_1/m (No. 11) and the conventional cell measures 6.570, 5.516 and 9.333 Å, with angles of 90.00, 102.90 and 90.00 degrees. The asymmetric unit holds Rb at (0.241, 0.250, 0.463), Ho at (0.252, 0.250, 0.950), B at (0.247, 0.750, 0.164), S at (0.065, 0.750, 0.293), S at (0.120, 0.750, 0.958) and S at (0.476, 0.505, 0.203).

The calculation puts the uncorrected formation energy at -1.1610 eV/atom.